[1]
An optimized crystal structure of MgPaIn, computed with PBE.

Cell: 3.1028 3.1028 7.7624 Å, 101.53 101.53 90.00°
Fractional positions:
Mg (0.3279, 0.3279, 0.6558)
Pa (0.0011, 0.0011, 0.0022)
In (0.6710, 0.6710, 0.3420)

The space group is I4mm (107). The calculation puts the calculated formation energy at 0.065 eV/atom. As for the total moment: 0.47 μB/f.u. The volume comes out at 23.89 A^3/atom. The calculation puts the energy relative to the lowest polymorph listed for this composition at 7 meV per atom.

[2]
An optimized crystal structure of SmTmSc2Se4, computed with PBE.

Cell: 3.9490 6.9293 6.9327 Å, 71.02 90.00 90.00°
Fractional positions:
Sm (0.5000, 0.5000, 0.0000)
Tm (0.0000, 0.5000, 0.5000)
Sc (0.0000, 0.0000, 0.0000)
Sc (0.5000, 0.0000, 0.5000)
Se (0.0000, 0.7692, 0.7368)
Se (0.0000, 0.2308, 0.2632)
Se (0.5000, 0.7642, 0.2520)
Se (0.5000, 0.2358, 0.7480)

The space group is P2/m (10). As for the total moment: 0.00 μB/f.u. The volume comes out at 22.42 A^3/atom. The formation energy from raw total energies comes out at -1.654 eV per atom.

[3]
An optimized crystal structure of RbSmY4Se8, computed with PBE.

Cell: 8.6380 8.6380 8.7171 Å, 60.30 60.30 60.00°
Fractional positions:
Rb (0.3721, 0.3721, 0.8837)
Sm (0.0052, 0.0052, 0.9844)
Y (0.6254, 0.6254, 0.1239)
Y (0.0044, 0.4866, 0.5047)
Y (0.4866, 0.0044, 0.5047)
Y (0.0044, 0.0044, 0.5047)
Se (0.2360, 0.8014, 0.7265)
Se (0.8014, 0.2360, 0.7265)
Se (0.2360, 0.2360, 0.7265)
Se (0.2313, 0.2313, 0.3061)
Se (0.7553, 0.2295, 0.2600)
Se (0.2295, 0.7553, 0.2600)
Se (0.7553, 0.7553, 0.2600)
Se (0.7572, 0.7572, 0.7283)

The space group is R3m (160). As for the total moment: 0.00 μB/f.u. The volume comes out at 33.00 A^3/atom. The formation energy from raw total energies comes out at -1.730 eV per atom.

[4]
An optimized crystal structure of Dy3V5H12, computed with PBE.

Cell: 9.9511 9.9511 9.9511 Å, 109.47 109.47 109.47°
Fractional positions:
H (0.7036, 0.1213, 0.0358)
H (0.3321, 0.5358, 0.4145)
H (0.9642, 0.3787, 0.2964)
H (0.5358, 0.2036, 0.1213)
H (0.5823, 0.7036, 0.6679)
H (0.9642, 0.5855, 0.1679)
H (0.3321, 0.7964, 0.4177)
H (0.0855, 0.9177, 0.1213)
H (0.5855, 0.9642, 0.6679)
H (0.7036, 0.5823, 0.1679)
H (0.7964, 0.4642, 0.3787)
H (0.8321, 0.9145, 0.0358)
H (0.1213, 0.7036, 0.5358)
H (0.3787, 0.4145, 0.0823)
H (0.0823, 0.9145, 0.3787)
H (0.4177, 0.1213, 0.5855)
H (0.0823, 0.1679, 0.2036)
H (0.4642, 0.6679, 0.0855)
H (0.8321, 0.9177, 0.2964)
H (0.1213, 0.4177, 0.0855)
H (0.3787, 0.9642, 0.7964)
H (0.5855, 0.6213, 0.4177)
H (0.9145, 0.8321, 0.5358)
H (0.7964, 0.3321, 0.9177)
H (0.4145, 0.3787, 0.5823)
H (0.0855, 0.1679, 0.4642)
H (0.2036, 0.6679, 0.0823)
H (0.1679, 0.0823, 0.7036)
H (0.6213, 0.0358, 0.2036)
H (0.8787, 0.5823, 0.9145)
H (0.5358, 0.3321, 0.9145)
H (0.5823, 0.8787, 0.4145)
H (0.9177, 0.8321, 0.7964)
H (0.9177, 0.0855, 0.6213)
H (0.8787, 0.2964, 0.4642)
H (0.1679, 0.0855, 0.9642)
H (0.6213, 0.5855, 0.9177)
H (0.4145, 0.0358, 0.3321)
H (0.2964, 0.4177, 0.8321)
H (0.2036, 0.5358, 0.6213)
H (0.9145, 0.0823, 0.8787)
H (0.6679, 0.2036, 0.5823)
H (0.4642, 0.7964, 0.8787)
H (0.0358, 0.4145, 0.8321)
H (0.4177, 0.2964, 0.3321)
H (0.0358, 0.6213, 0.7036)
H (0.6679, 0.4642, 0.5855)
H (0.2964, 0.8787, 0.9642)
V (0.1250, 0.3750, 0.2500)
V (0.0000, 0.5000, 0.0000)
V (0.0000, 0.0000, 0.0000)
V (0.3750, 0.2500, 0.1250)
V (0.5000, 0.0000, 0.5000)
V (0.5000, 0.5000, 0.0000)
V (0.1250, 0.7500, 0.3750)
V (0.7500, 0.1250, 0.8750)
V (0.7500, 0.6250, 0.3750)
V (0.3750, 0.1250, 0.7500)
V (0.6250, 0.8750, 0.2500)
V (0.5000, 0.5000, 0.5000)
V (0.5000, 0.0000, 0.0000)
V (0.0000, 0.0000, 0.5000)
V (0.2500, 0.3750, 0.6250)
V (0.2500, 0.8750, 0.1250)
V (0.0000, 0.5000, 0.5000)
V (0.8750, 0.2500, 0.6250)
V (0.6250, 0.7500, 0.8750)
V (0.8750, 0.6250, 0.7500)
Dy (0.7500, 0.3750, 0.1250)
Dy (0.8750, 0.7500, 0.1250)
Dy (0.3750, 0.7500, 0.6250)
Dy (0.2500, 0.1250, 0.3750)
Dy (0.8750, 0.1250, 0.2500)
Dy (0.3750, 0.6250, 0.2500)
Dy (0.6250, 0.3750, 0.7500)
Dy (0.1250, 0.8750, 0.7500)
Dy (0.7500, 0.8750, 0.6250)
Dy (0.6250, 0.2500, 0.3750)
Dy (0.1250, 0.2500, 0.8750)
Dy (0.2500, 0.6250, 0.8750)

For the total energy, the calculation gives -5.218 eV/atom. The space group is Ia-3d (230). As for the total moment: 1.97 μB/f.u. The volume comes out at 9.48 A^3/atom.

[5]
An optimized crystal structure of UTc2Ni, computed with PBE.

Cell: 4.5513 4.5513 4.5948 Å, 60.31 60.31 60.00°
Fractional positions:
Ni (0.5000, 0.5000, 0.5000)
U (0.0000, 0.0000, 0.0000)
Tc (0.7923, 0.7923, 0.6231)
Tc (0.2077, 0.2077, 0.3769)

The space group is R-3m (166). The calculation puts the calculated formation energy at 0.004 eV/atom. As for the total moment: 0.00 μB/f.u. The volume comes out at 16.90 A^3/atom. The calculation puts the energy relative to the lowest polymorph listed for this composition at 183 meV per atom.

[6]
An optimized crystal structure of Cd6Ni, computed with PBE.

Cell: 5.4810 5.4810 9.6514 Å, 90.00 90.00 97.78°
Fractional positions:
Cd (0.3238, 0.6762, 0.0000)
Cd (0.6762, 0.3238, 0.5000)
Cd (0.6762, 0.3238, 0.0000)
Cd (0.3238, 0.6762, 0.5000)
Cd (0.1515, 0.1515, 0.9051)
Cd (0.8485, 0.8485, 0.4051)
Cd (0.1515, 0.1515, 0.5949)
Cd (0.8485, 0.8485, 0.0949)
Cd (0.5991, 0.9681, 0.7500)
Cd (0.4009, 0.0319, 0.2500)
Cd (0.9681, 0.5991, 0.7500)
Cd (0.0319, 0.4009, 0.2500)
Ni (0.4647, 0.4647, 0.7500)
Ni (0.5353, 0.5353, 0.2500)

The space group is Cmcm (63). The calculation puts the calculated formation energy at -0.015 eV/atom. As for the total moment: 0.00 μB/f.u. The volume comes out at 20.52 A^3/atom.